Density functional theory data (PBE) for K2NaPb2 after structural relaxation.

a = 4.5483 Å, b = 4.5483 Å, c = 22.3401 Å
α = 90.00°, β = 90.00°, γ = 90.00°
Space group I4/mmm (No. 139)
Symmetry-distinct sites (fractional):
K: 0.0000 0.0000 0.1143
Na: 0.0000 0.0000 0.5000
Pb: 0.0000 0.5000 0.2500

Values from the calculation:
Its total moment is 0.00 μB per formula unit. For the energy above the most stable polymorph in this dataset, the calculation gives 0.125 eV/atom. Its formation energy from the elements is 0.0390 eV per atom.